Sm3Y4Te8 | PBE-GGA | relaxed

Formation energy from raw total energies (eV per atom): -1.41
DFT total energy (eV/cell): -172.54
Magnetic moment (μB per atom): 0.000

a b c (Å): 12.404 12.409 8.770
angles (deg): 90.00 134.95 90.00
Space group C2/m (No. 12)
Asymmetric unit:
Sm: 0.000 0.000 0.000 (multiplicity 2)
Sm: 0.250 0.250 0.000 (multiplicity 4)
Y: 0.000 0.500 0.000 (multiplicity 2)
Y: 0.000 0.500 0.500 (multiplicity 2)
Y: 0.250 0.250 0.500 (multiplicity 4)
Te: 0.000 0.246 0.500 (multiplicity 4)
Te: 0.000 0.252 0.000 (multiplicity 4)
Te: 0.248 0.000 0.504 (multiplicity 4)
Te: 0.248 0.000 0.993 (multiplicity 4)

LiGe3Se | PBE-GGA | relaxed

Formation energy from raw total energies (eV per atom): 0.55
DFT total energy (eV/cell): -16.51
Magnetic moment (μB per atom): 0.000
ΔE to the lowest computed polymorph (eV/atom): 0.146

a b c (Å): 5.220 5.220 5.220
angles (deg): 90.00 90.00 90.00
Space group Pm-3m (No. 221)
Asymmetric unit:
Li: 0.000 0.000 0.000 (multiplicity 1)
Ge: 0.000 0.500 0.500 (multiplicity 3)
Se: 0.500 0.500 0.500 (multiplicity 1)